[1]
# ZrTaPt2 PBE-GGA optimized geometry
# E ... -8.449 eV per atom
# V ... 19.14 A^3/atom
# Mass density ... 14.37 g/cm³
data_ZrTaPt2
_cell_length_a 5.927
_cell_length_b 5.927
_cell_length_c 5.927
_cell_angle_alpha 103.02
_cell_angle_beta 103.02
_cell_angle_gamma 123.33
_symmetry_space_group_name_H-M 'P 1'
_symmetry_Int_Tables_number 1
_symmetry_space_group_name_Hall 'P 1'
loop_
_atom_site_label
_atom_site_type_symbol
_atom_site_fract_x
_atom_site_fract_y
_atom_site_fract_z
Zr1 Zr 0.000 0.000 0.000
Zr2 Zr 0.750 0.250 0.500
Ta1 Ta 0.250 0.750 0.500
Ta2 Ta 0.500 0.500 0.000
Pt1 Pt 0.145 0.625 0.020
Pt2 Pt 0.375 0.395 0.520
Pt3 Pt 0.605 0.125 0.980
Pt4 Pt 0.875 0.855 0.480

***

[2]
# Tb4ThSc3 PBE-GGA optimized geometry
# E ... -5.468 eV per atom
# V ... 29.51 A^3/atom
# E above lowest polymorph ... 100 meV per atom
# Mass density ... 7.05 g/cm³
data_Tb4ThSc3
_cell_length_a 8.564
_cell_length_b 8.564
_cell_length_c 3.370
_cell_angle_alpha 101.28
_cell_angle_beta 101.28
_cell_angle_gamma 81.40
_symmetry_space_group_name_H-M 'P 1'
_symmetry_Int_Tables_number 1
_symmetry_space_group_name_Hall 'P 1'
loop_
_atom_site_label
_atom_site_type_symbol
_atom_site_fract_x
_atom_site_fract_y
_atom_site_fract_z
Tb1 Tb 0.111 0.623 0.867
Tb2 Tb 0.377 0.889 0.133
Tb3 Tb 0.623 0.111 0.867
Tb4 Tb 0.889 0.377 0.133
Th1 Th 0.500 0.500 0.500
Sc1 Sc 0.000 0.000 0.000
Sc2 Sc 0.239 0.239 0.739
Sc3 Sc 0.761 0.761 0.261

***

[3]
# MgW2Br PBE-GGA optimized geometry
# E ... -6.509 eV per atom
# V ... 18.16 A^3/atom
# E above lowest polymorph ... 500 meV per atom
# Mass density ... 10.79 g/cm³
# Energy relative to the elements, uncorrected ... 785 meV/atom
data_MgW2Br
_cell_length_a 5.383
_cell_length_b 5.383
_cell_length_c 4.585
_cell_angle_alpha 97.36
_cell_angle_beta 97.36
_cell_angle_gamma 33.48
_symmetry_space_group_name_H-M 'P 1'
_symmetry_Int_Tables_number 1
_symmetry_space_group_name_Hall 'P 1'
loop_
_atom_site_label
_atom_site_type_symbol
_atom_site_fract_x
_atom_site_fract_y
_atom_site_fract_z
Mg1 Mg 0.000 0.000 0.000
W1 W 0.248 0.248 0.770
W2 W 0.752 0.752 0.230
Br1 Br 0.500 0.500 0.500